{"formula": "TaNiPtPb", "functional": "PBE", "state": "relaxed", "sg": "F-43m (216)", "e_above_lowest_polymorph_mev_per_atom": 0.0, "cell": [[0.0000, 3.2557, 3.2557], [3.2557, 0.0000, 3.2557], [3.2557, 3.2557, 0.0000]], "species": ["Ta", "Ni", "Pt", "Pb"], "frac_coords": [[0.0000, 0.0000, 0.0000], [0.7500, 0.7500, 0.7500], [0.2500, 0.2500, 0.2500], [0.5000, 0.5000, 0.5000]]}

{"formula": "ErTm4Ag5", "functional": "PBE", "state": "relaxed", "sg": "P4/mmm (123)", "delta_e_f_ev_per_atom": -0.35, "cell": [[3.5738, 0.0000, 0.0000], [0.0000, 3.5738, 0.0000], [0.0000, 0.0000, 17.9084]], "species": ["Er", "Tm", "Tm", "Tm", "Tm", "Ag", "Ag", "Ag", "Ag", "Ag"], "frac_coords": [[0.0000, 0.0000, 0.0000], [0.0000, 0.0000, 0.2007], [0.0000, 0.0000, 0.4002], [0.0000, 0.0000, 0.5998], [0.0000, 0.0000, 0.7993], [0.5000, 0.5000, 0.1012], [0.5000, 0.5000, 0.3004], [0.5000, 0.5000, 0.5000], [0.5000, 0.5000, 0.6996], [0.5000, 0.5000, 0.8988]]}

{"formula": "NbCdRe2", "functional": "PBE", "state": "relaxed", "sg": "F-43m (216)", "delta_e_f_ev_per_atom": 0.49, "cell": [[0.0000, 3.2164, 3.2164], [3.2164, 0.0000, 3.2164], [3.2164, 3.2164, 0.0000]], "species": ["Nb", "Cd", "Re", "Re"], "frac_coords": [[0.0000, 0.0000, 0.0000], [0.2500, 0.2500, 0.2500], [0.5000, 0.5000, 0.5000], [0.7500, 0.7500, 0.7500]]}